Record 1
Compound: SrSi2Au
Source: Alexandria via LeMat-Bulk
Functional: PBE
Structure: relaxed Values from VASP.

Cell and atoms, written as Quantum ESPRESSO input:
```
&SYSTEM
  ibrav = 0, nat = 4, ntyp = 3
/
ATOMIC_SPECIES
Au 196.97 Au.upf
Si 28.09 Si.upf
Sr 87.62 Sr.upf
ATOMIC_POSITIONS crystal
Au 0.5000 0.9977 0.7309
Si 0.0000 0.0031 0.0175
Si 0.5000 0.9996 0.2536
Sr 0.0000 0.4997 0.4980
CELL_PARAMETERS angstrom
4.2025 0.0000 0.0000
0.0000 4.6382 -0.0404
0.0000 0.0541 5.0800
```

Results
ΔE_f (raw) in eV per formula unit: -0.9
Total energy in eV per atom: -4.174


Record 2
Compound: ScTi2Pd2
Source: Alexandria via LeMat-Bulk
Functional: PBE
Structure: relaxed Values from VASP.

Cell and atoms, written as Quantum ESPRESSO input:
```
&SYSTEM
  ibrav = 0, nat = 5, ntyp = 3
/
ATOMIC_SPECIES
Sc 44.96 Sc.upf
Pd 106.42 Pd.upf
Ti 47.87 Ti.upf
ATOMIC_POSITIONS crystal
Sc 0.0000 0.0000 0.0000
Pd 0.3771 0.3771 0.2458
Pd 0.6229 0.6229 0.7542
Ti 0.7500 0.2500 0.5000
Ti 0.2500 0.7500 0.5000
CELL_PARAMETERS angstrom
4.3217 0.0000 0.0000
0.0000 4.3217 0.0000
2.1609 2.1609 5.1427
```

Results
Formation energy from the elements in meV per atom: -341
Distance to the lowest polymorph of the same formula in meV/atom: 100.1
Total energy in eV per atom: -6.842


Record 3
Compound: PaPd4Pt5
Source: Alexandria via LeMat-Bulk
Functional: PBE
Structure: relaxed Values from VASP.

Cell and atoms, written as Quantum ESPRESSO input:
```
&SYSTEM
  ibrav = 0, nat = 20, ntyp = 3
/
ATOMIC_SPECIES
Pa 231.04 Pa.upf
Pd 106.42 Pd.upf
Pt 195.08 Pt.upf
ATOMIC_POSITIONS crystal
Pa 0.0000 0.5250 0.0000
Pa 0.5000 0.4750 0.5000
Pd 0.7213 0.7826 0.0000
Pd 0.0000 0.5184 0.6749
Pd 0.0000 0.5184 0.3251
Pd 0.2787 0.7826 0.0000
Pd 0.2213 0.2174 0.5000
Pd 0.5000 0.4816 0.8251
Pd 0.5000 0.4816 0.1749
Pd 0.7787 0.2174 0.5000
Pt 0.8104 0.1862 0.8318
Pt 0.8104 0.1862 0.1682
Pt 0.0000 0.8779 0.5000
Pt 0.1896 0.1862 0.8318
Pt 0.1896 0.1862 0.1682
Pt 0.3104 0.8138 0.6682
Pt 0.3104 0.8138 0.3318
Pt 0.5000 0.1221 0.0000
Pt 0.6896 0.8138 0.3318
Pt 0.6896 0.8138 0.6682
CELL_PARAMETERS angstrom
7.2375 0.0000 0.0000
0.0000 6.1417 0.0000
0.0000 0.0000 8.2351
```

Results
Formation energy from the elements in meV per atom: -202
Total energy in eV per atom: -6.249